Entry 1:
Here is TmNpMnO6 after structural relaxation from Alexandria via LeMat-Bulk. Energies are from PBE+U.

a b c (Å): 5.6565 5.6565 8.9983
angles (deg): 90.00 90.00 120.00
Closest atoms and distances in Å follow each position.
Atoms (fractional coordinates):
Tm1 0.3333 0.6667 0.2500  6 O 2.23
Tm2 0.6667 0.3333 0.7500  6 O 2.23
Np1 0.6667 0.3333 0.2500  6 O 2.03
Np2 0.3333 0.6667 0.7500  6 O 2.03
Mn1 0.0000 0.0000 0.0000  6 O 2.30
Mn2 0.0000 0.0000 0.5000  6 O 2.30
O1 0.6667 0.6405 0.1326  1 Np 2.03, 1 Tm 2.23
O2 0.9738 0.3333 0.1326  1 Np 2.03, 1 Tm 2.23
O3 0.3333 0.9738 0.6326  1 Np 2.03, 1 Tm 2.23
O4 0.0262 0.6667 0.8674  1 Np 2.03, 1 Tm 2.23
O5 0.3595 0.3333 0.3674  1 Np 2.03, 1 Tm 2.23
O6 0.9738 0.6405 0.3674  1 Np 2.03, 1 Tm 2.23
O7 0.6405 0.9738 0.8674  1 Np 2.03, 1 Tm 2.23
O8 0.6667 0.0262 0.3674  1 Np 2.03, 1 Tm 2.23
O9 0.0262 0.3595 0.6326  1 Np 2.03, 1 Tm 2.23
O10 0.3595 0.0262 0.1326  1 Np 2.03, 1 Tm 2.23
O11 0.6405 0.6667 0.6326  1 Np 2.03, 1 Tm 2.23
O12 0.3333 0.3595 0.8674  1 Np 2.03, 1 Tm 2.23


Entry 2:
Here is NpUMnO6 after structural relaxation from Alexandria via LeMat-Bulk. Energies are from PBE+U.

a b c (Å): 5.4863 5.4863 9.6894
angles (deg): 90.00 90.00 120.00
Closest atoms and distances in Å follow each position.
Atoms (fractional coordinates):
Np1 0.0000 0.0000 0.0000  6 O 2.22
Np2 0.0000 0.0000 0.5000  6 O 2.22
U1 0.6667 0.3333 0.2500  6 O 2.13
U2 0.3333 0.6667 0.7500  6 O 2.13
Mn1 0.3333 0.6667 0.2500  6 O 2.20
Mn2 0.6667 0.3333 0.7500  6 O 2.20
O1 0.6732 0.6634 0.1313  1 U 2.13, 1 Mn 2.20, 1 Np 2.22
O2 0.9901 0.3268 0.1313  1 U 2.13, 1 Mn 2.20, 1 Np 2.22
O3 0.3268 0.9901 0.6313  1 U 2.13, 1 Mn 2.20, 1 Np 2.22
O4 0.0099 0.6732 0.8687  1 U 2.13, 1 Mn 2.20, 1 Np 2.22
O5 0.3366 0.3268 0.3687  1 U 2.13, 1 Mn 2.20, 1 Np 2.22
O6 0.9901 0.6634 0.3687  1 U 2.13, 1 Mn 2.20, 1 Np 2.22
O7 0.6634 0.9901 0.8687  1 U 2.13, 1 Mn 2.20, 1 Np 2.22
O8 0.6732 0.0099 0.3687  1 U 2.13, 1 Mn 2.20, 1 Np 2.22
O9 0.0099 0.3366 0.6313  1 U 2.13, 1 Mn 2.20, 1 Np 2.22
O10 0.3366 0.0099 0.1313  1 U 2.13, 1 Mn 2.20, 1 Np 2.22
O11 0.6634 0.6732 0.6313  1 U 2.13, 1 Mn 2.20, 1 Np 2.22
O12 0.3268 0.3366 0.8687  1 U 2.13, 1 Mn 2.20, 1 Np 2.22

Output
- Fermi-level density of states (states/eV per atom) = 1.345


Entry 3:
Here is NpUMn2O8 after structural relaxation from Alexandria via LeMat-Bulk. Energies are from PBE+U.

a b c (Å): 4.8032 4.8036 6.9798
angles (deg): 90.00 90.00 91.08
Closest atoms and distances in Å follow each position.
Atoms (fractional coordinates):
Np1 0.0000 0.0000 0.0000  6 O 1.96-2.17
U1 0.0000 0.0000 0.5000  6 O 1.98-2.17
Mn1 0.5000 0.5000 0.7512  6 O 2.14-2.24
Mn2 0.5000 0.5000 0.2488  6 O 2.14-2.24
O1 0.1878 0.8117 0.2493  1 Mn 2.14, 1 Np 2.17, 1 U 2.17
O2 0.7080 0.7086 0.0000  1 Np 1.96
O3 0.8122 0.1884 0.2493  1 Mn 2.14, 1 Np 2.17, 1 U 2.17
O4 0.8122 0.1883 0.7507  1 Mn 2.14, 1 Np 2.17, 1 U 2.17
O5 0.2920 0.2914 0.0000  1 Np 1.96
O6 0.1878 0.8116 0.7507  1 Mn 2.14, 1 Np 2.17, 1 U 2.17
O7 0.7060 0.7067 0.5000  1 U 1.98
O8 0.2940 0.2933 0.5000  1 U 1.98

Output
- Fermi-level density of states (states/eV per atom) = 0.084


Entry 4:
Here is YNpMn2O8 after structural relaxation from Alexandria via LeMat-Bulk. Energies are from PBE+U.

a b c (Å): 4.8157 4.8162 6.9002
angles (deg): 85.00 85.02 86.52
Closest atoms and distances in Å follow each position.
Atoms (fractional coordinates):
Y1 0.0000 0.0000 0.5000  6 O 2.24-2.29
Np1 0.0000 0.0000 0.0000  6 O 1.97-2.07
Mn1 0.4789 0.4789 0.7241  5 O 1.88-2.10
Mn2 0.5211 0.5211 0.2759  5 O 1.88-2.10
O1 0.2020 0.7990 0.2293  1 Mn 2.00, 1 Np 2.07
O2 0.7166 0.7173 0.0426  1 Np 1.97, 1 Mn 1.99
O3 0.7996 0.2026 0.2292  1 Mn 2.00, 1 Np 2.07
O4 0.7980 0.2010 0.7707  1 Mn 2.00, 1 Np 2.07
O5 0.2834 0.2827 0.9574  1 Np 1.97, 1 Mn 1.99
O6 0.2004 0.7974 0.7708  1 Mn 2.00, 1 Np 2.07
O7 0.6781 0.6787 0.5167  2 Mn 1.88-2.10
O8 0.3219 0.3213 0.4833  2 Mn 1.88-2.10

Output
- Fermi-level density of states (states/eV per atom) = 0.238


Entry 5:
Here is Y2NpMnO8 after structural relaxation from Alexandria via LeMat-Bulk. Energies are from PBE+U.

a b c (Å): 4.9915 4.9896 6.9535
angles (deg): 93.76 86.20 94.20
Closest atoms and distances in Å follow each position.
Atoms (fractional coordinates):
Y1 0.5327 0.4670 0.7334  6 O 2.21-2.41
Y2 0.4673 0.5330 0.2666  6 O 2.21-2.41
Np1 0.0000 0.0000 0.0000  4 O 1.92-2.00
Mn1 0.0000 0.0000 0.5000  4 O 1.94-1.97
O1 0.1593 0.8414 0.2554  1 Mn 1.97
O2 0.7071 0.7050 0.9998  1 Np 2.00
O3 0.7951 0.2027 0.1936  1 Np 1.92
O4 0.8407 0.1586 0.7446  1 Mn 1.97
O5 0.2929 0.2950 0.0002  1 Np 2.00
O6 0.2049 0.7973 0.8064  1 Np 1.92
O7 0.7151 0.7145 0.5000  1 Mn 1.94
O8 0.2849 0.2855 0.5000  1 Mn 1.94


Entry 6:
Here is YNpMn2O6 after structural relaxation from Alexandria via LeMat-Bulk. Energies are from PBE+U.

a b c (Å): 5.6242 5.7186 8.3509
angles (deg): 90.00 90.77 90.00
Closest atoms and distances in Å follow each position.
Atoms (fractional coordinates):
Y1 0.5000 0.0000 0.0000  6 O 2.26-2.31
Y2 0.0000 0.5000 0.5000  6 O 2.26-2.31
Np1 0.5000 0.0000 0.5000  6 O 2.12-2.27
Np2 0.0000 0.5000 0.0000  6 O 2.12-2.27
Mn1 0.9892 0.9688 0.2509  4 O 2.12-2.21
Mn2 0.4892 0.5312 0.7509  4 O 2.12-2.21
Mn3 0.0108 0.0312 0.7491  4 O 2.12-2.21
Mn4 0.5108 0.4688 0.2491  4 O 2.12-2.21
O1 0.3241 0.6604 0.0705  1 Np 2.12, 1 Mn 2.12, 1 Y 2.26
O2 0.8241 0.8396 0.5705  1 Np 2.12, 1 Mn 2.12, 1 Y 2.26
O3 0.6759 0.3396 0.9295  1 Np 2.12, 1 Mn 2.12, 1 Y 2.26
O4 0.1759 0.1604 0.4295  1 Np 2.12, 1 Mn 2.12, 1 Y 2.26
O5 0.3461 0.6798 0.4242  1 Mn 2.12, 1 Np 2.12, 1 Y 2.30
O6 0.8461 0.8202 0.9242  1 Mn 2.12, 1 Np 2.12, 1 Y 2.30
O7 0.6539 0.3202 0.5758  1 Mn 2.12, 1 Np 2.12, 1 Y 2.30
O8 0.1539 0.1798 0.0758  1 Mn 2.12, 1 Np 2.12, 1 Y 2.30
O9 0.8673 0.6013 0.2458  2 Mn 2.14-2.21, 1 Np 2.27, 1 Y 2.31
O10 0.3673 0.8987 0.7458  2 Mn 2.14-2.21, 1 Np 2.27, 1 Y 2.31
O11 0.1327 0.3987 0.7542  2 Mn 2.14-2.21, 1 Np 2.27, 1 Y 2.31
O12 0.6327 0.1013 0.2542  2 Mn 2.14-2.21, 1 Np 2.27, 1 Y 2.31

Output
- Fermi-level density of states (states/eV per atom) = 0.690


Entry 7:
Here is NpMnZn2O8 after structural relaxation from Alexandria via LeMat-Bulk. Energies are from PBE+U.

a b c (Å): 5.8149 5.8149 5.8149
angles (deg): 112.16 112.16 104.23
Closest atoms and distances in Å follow each position.
Atoms (fractional coordinates):
Np1 0.2500 0.7500 0.5000  4 O 1.96
Mn1 0.0000 0.0000 0.0000  4 O 1.96
Zn1 0.7500 0.2500 0.5000  4 O 1.97
Zn2 0.5000 0.5000 0.0000  4 O 1.92
O1 0.3412 0.0432 0.2980  1 Mn 1.96, 1 Zn 1.97
O2 0.3055 0.5104 0.2049  1 Zn 1.92, 1 Np 1.96
O3 0.3055 0.1006 0.7951  1 Zn 1.92, 1 Np 1.96
O4 0.7453 0.0432 0.7020  1 Mn 1.96, 1 Zn 1.97
O5 0.8994 0.6945 0.2049  1 Zn 1.92, 1 Np 1.96
O6 0.9568 0.2547 0.2980  1 Mn 1.96, 1 Zn 1.97
O7 0.9568 0.6588 0.7020  1 Mn 1.96, 1 Zn 1.97
O8 0.4896 0.6945 0.7951  1 Zn 1.92, 1 Np 1.96

Output
- Fermi-level density of states (states/eV per atom) = 0.757


Entry 8:
Here is NpMn2ZnO8 after structural relaxation from Alexandria via LeMat-Bulk. Energies are from PBE+U.

a b c (Å): 5.8268 5.8268 5.8268
angles (deg): 109.16 109.16 110.09
Closest atoms and distances in Å follow each position.
Atoms (fractional coordinates):
Np1 0.0000 0.0000 0.0000  4 O 1.96
Mn1 0.7500 0.2500 0.5000  4 O 2.00
Mn2 0.5000 0.5000 0.0000  4 O 1.73
Zn1 0.2500 0.7500 0.5000  4 O 2.15
O1 0.3293 0.0428 0.2864  1 Np 1.96, 1 Mn 2.00
O2 0.3285 0.5195 0.1910  1 Mn 1.73
O3 0.3285 0.1374 0.8090  1 Mn 1.73
O4 0.7564 0.0428 0.7136  1 Np 1.96, 1 Mn 2.00
O5 0.8626 0.6715 0.1910  1 Mn 1.73
O6 0.9572 0.2436 0.2864  1 Np 1.96, 1 Mn 2.00
O7 0.9572 0.6707 0.7136  1 Np 1.96, 1 Mn 2.00
O8 0.4805 0.6715 0.8090  1 Mn 1.73


Entry 9:
Here is NpMnZn2O6 after structural relaxation from Alexandria via LeMat-Bulk. Energies are from PBE+U.

a b c (Å): 5.4087 5.4085 5.8283
angles (deg): 62.36 62.36 60.00
Closest atoms and distances in Å follow each position.
Atoms (fractional coordinates):
Np1 0.3161 0.3162 0.0515  6 O 2.10
Mn1 0.8162 0.8161 0.5515  6 O 2.18
Zn1 0.5303 0.5304 0.4090  3 O 1.98
Zn2 0.1020 0.1019 0.6941  3 O 1.98
O1 0.5398 0.2183 0.3134  1 Zn 1.98, 1 Np 2.10, 1 Mn 2.18
O2 0.2183 0.9285 0.3135  1 Zn 1.98, 1 Np 2.10, 1 Mn 2.18
O3 0.9285 0.5398 0.3135  1 Zn 1.98, 1 Np 2.10, 1 Mn 2.18
O4 0.4140 0.7038 0.7895  1 Zn 1.98, 1 Np 2.10, 1 Mn 2.18
O5 0.7038 0.0926 0.7895  1 Zn 1.98, 1 Np 2.10, 1 Mn 2.18
O6 0.0926 0.4140 0.7896  1 Zn 1.98, 1 Np 2.10, 1 Mn 2.18

Output
- Fermi-level density of states (states/eV per atom) = 0.009


Entry 10:
Here is NpMn2ZnO6 after structural relaxation from Alexandria via LeMat-Bulk. Energies are from PBE+U.

a b c (Å): 5.3697 5.3695 5.6685
angles (deg): 61.73 61.73 60.00
Closest atoms and distances in Å follow each position.
Atoms (fractional coordinates):
Np1 0.8118 0.8118 0.5645  6 O 2.14-2.20
Mn1 0.5240 0.5240 0.4281  6 O 2.12-2.31
Mn2 0.0102 0.0102 0.9693  6 O 2.01-2.03
Zn1 0.3126 0.3126 0.0623  6 O 2.08-2.24
O1 0.6265 0.2111 0.2400  2 Mn 2.03-2.12, 1 Zn 2.08, 1 Np 2.20
O2 0.2111 0.9224 0.2400  2 Mn 2.03-2.12, 1 Zn 2.08, 1 Np 2.20
O3 0.9224 0.6265 0.2400  2 Mn 2.03-2.12, 1 Zn 2.08, 1 Np 2.20
O4 0.3906 0.7427 0.7570  1 Mn 2.01, 1 Np 2.14, 1 Zn 2.24
O5 0.7426 0.1097 0.7570  1 Mn 2.01, 1 Np 2.14, 1 Zn 2.24
O6 0.1097 0.3906 0.7571  1 Mn 2.01, 1 Np 2.14, 1 Zn 2.24

Output
- Fermi-level density of states (states/eV per atom) = 0.643


Entry 11:
Here is ZrNpMnO6 after structural relaxation from Alexandria via LeMat-Bulk. Energies are from PBE+U.

a b c (Å): 5.5763 5.5763 9.1527
angles (deg): 90.00 90.00 120.00
Closest atoms and distances in Å follow each position.
Atoms (fractional coordinates):
Zr1 0.3333 0.6667 0.2500  6 O 2.13
Zr2 0.6667 0.3333 0.7500  6 O 2.13
Np1 0.6667 0.3333 0.2500  6 O 2.08
Np2 0.3333 0.6667 0.7500  6 O 2.08
Mn1 0.0000 0.0000 0.0000  6 O 2.30
Mn2 0.0000 0.0000 0.5000  6 O 2.30
O1 0.6544 0.6476 0.1338  1 Np 2.08, 1 Zr 2.13, 1 Mn 2.30
O2 0.9932 0.3456 0.1338  1 Np 2.08, 1 Zr 2.13, 1 Mn 2.30
O3 0.3456 0.9933 0.6338  1 Np 2.08, 1 Zr 2.13, 1 Mn 2.30
O4 0.0068 0.6544 0.8662  1 Np 2.08, 1 Zr 2.13, 1 Mn 2.30
O5 0.3524 0.3456 0.3662  1 Np 2.08, 1 Zr 2.13, 1 Mn 2.30
O6 0.9932 0.6476 0.3662  1 Np 2.08, 1 Zr 2.13, 1 Mn 2.30
O7 0.6476 0.9933 0.8662  1 Np 2.08, 1 Zr 2.13, 1 Mn 2.30
O8 0.6544 0.0067 0.3662  1 Np 2.08, 1 Zr 2.13, 1 Mn 2.30
O9 0.0068 0.3524 0.6338  1 Np 2.08, 1 Zr 2.13, 1 Mn 2.30
O10 0.3524 0.0067 0.1338  1 Np 2.08, 1 Zr 2.13, 1 Mn 2.30
O11 0.6476 0.6544 0.6338  1 Np 2.08, 1 Zr 2.13, 1 Mn 2.30
O12 0.3456 0.3524 0.8662  1 Np 2.08, 1 Zr 2.13, 1 Mn 2.30

Output
- Fermi-level density of states (states/eV per atom) = 0.022


Entry 12:
Here is ZrNpMn2O8 after structural relaxation from Alexandria via LeMat-Bulk. Energies are from PBE+U.

a b c (Å): 4.9093 4.9085 6.4145
angles (deg): 90.00 90.00 93.51
Closest atoms and distances in Å follow each position.
Atoms (fractional coordinates):
Zr1 0.0000 0.0000 0.5000  6 O 2.11-2.12
Np1 0.0000 0.0000 0.0000  6 O 2.04-2.10
Mn1 0.5001 0.5001 0.7449  4 O 2.01-2.07
Mn2 0.4999 0.4999 0.2551  4 O 2.01-2.07
O1 0.1847 0.8149 0.2420  1 Np 2.04, 1 Zr 2.12, 1 Mn 2.26
O2 0.6873 0.6876 0.0000  2 Mn 2.07, 1 Np 2.10
O3 0.8152 0.1850 0.2420  1 Np 2.04, 1 Zr 2.12, 1 Mn 2.26
O4 0.8153 0.1851 0.7580  1 Np 2.04, 1 Zr 2.12, 1 Mn 2.26
O5 0.3127 0.3124 0.0000  2 Mn 2.07, 1 Np 2.10
O6 0.1848 0.8150 0.7580  1 Np 2.04, 1 Zr 2.12, 1 Mn 2.26
O7 0.6857 0.6860 0.5000  2 Mn 2.01, 1 Zr 2.11
O8 0.3143 0.3140 0.5000  2 Mn 2.01, 1 Zr 2.11

Output
- Fermi-level density of states (states/eV per atom) = 0.424


no.,theoretical density (g cm⁻³),calculated total energy (eV/atom)
1,7.417,-8.667
2,8.231,-9.561
3,7.352,-9.134
4,5.903,-8.444
5,5.770,-8.819
6,6.576,-8.938
7,6.080,-6.645
8,5.892,-7.311
9,6.909,-7.259
10,7.123,-7.727
11,6.456,-9.162
12,6.093,-8.690